Material: InCoIr
Method: DFT, GGA-PBE
State: optimized geometry

Unit cell a=4.2645 b=4.2645 c=2.9919 alpha=90.00 beta=90.00 gamma=120.00
With the nearest neighbours (Å) after each atom.
Element x y z (fractional)
Co  0.0000  0.0000  0.8336  3 Ir 2.46
In  0.6667  0.3333  0.3332  6 Co 2.88, 6 Ir 2.88, 2 In 2.99
Ir  0.3333  0.6667  0.8332  3 Co 2.46

final energy: -18.1 eV per formula unit
polymorph energy (0 for the lowest one): 0.0629 eV per atom



Material: InCoIr
Method: DFT, GGA-PBE
State: optimized geometry

Unit cell a=4.2899 b=4.2899 c=4.2899 alpha=60.00 beta=60.00 gamma=60.00
With the nearest neighbours (Å) after each atom.
Element x y z (fractional)
Co  0.0000  0.0000  0.0000  4 Ir 2.63
In  0.5000  0.5000  0.5000  4 Ir 2.63
Ir  0.2500  0.2500  0.2500  4 In 2.63, 4 Co 2.63

final energy: -17.8 eV per formula unit
polymorph energy (0 for the lowest one): 0.1906 eV per atom



| no. | N(E_F) (states/eV per atom) |
| --- | --- |
| 1 | 1.317 |
| 2 | 0.853 |